{"formula": "Y2In3", "functional": "PBE", "state": "relaxed", "lattice": [[0.0000, 7.7852, 3.1291], [5.4276, 0.0000, 3.1291], [5.4276, 7.7852, 0.0000]], "species": ["Y", "Y", "Y", "Y", "In", "In", "In", "In", "In", "In"], "frac_coords": [[0.2368, 0.7632, 0.3692], [0.6192, 0.8808, 0.4868], [0.7632, 0.2368, 0.6308], [0.8808, 0.6192, 0.0132], [0.1654, 0.8114, 0.0611], [0.1889, 0.2880, 0.0846], [0.2880, 0.1889, 0.4386], [0.3724, 0.3724, 0.6276], [0.6224, 0.6224, 0.8776], [0.8114, 0.1654, 0.9620]], "magmom_total_mub_per_cell": 0.00, "spacegroup": "Fdd2 (43)", "total_energy_ev_per_atom": -4.702, "vol_a3_per_atom": 26.44}


{"formula": "Pa4PtC2", "functional": "PBE", "state": "relaxed", "lattice": [[1.7879, -5.8749, 0.0000], [1.7879, 5.8749, 0.0000], [0.0000, 0.0000, 13.0410]], "species": ["Pa", "Pa", "Pa", "Pa", "Pa", "Pa", "Pa", "Pa", "Pt", "Pt", "C", "C", "C", "C"], "frac_coords": [[0.0000, 0.0000, 0.0000], [0.0000, 0.0000, 0.5000], [0.2764, 0.7236, 0.6060], [0.2764, 0.7236, 0.8940], [0.4177, 0.5823, 0.2500], [0.5823, 0.4177, 0.7500], [0.7236, 0.2764, 0.1060], [0.7236, 0.2764, 0.3940], [0.1068, 0.8932, 0.2500], [0.8932, 0.1068, 0.7500], [0.3652, 0.6348, 0.0667], [0.3652, 0.6348, 0.4333], [0.6348, 0.3652, 0.5667], [0.6348, 0.3652, 0.9333]], "magmom_total_mub_per_cell": 0.00, "spacegroup": "Cmcm (63)", "total_energy_ev_per_atom": -9.432, "vol_a3_per_atom": 19.57}


{"formula": "Th2PaTe", "functional": "PBE", "state": "relaxed", "lattice": [[3.7351, 0.0000, 0.0000], [-1.8675, 3.2347, 0.0000], [0.0000, 0.0000, 30.6587]], "species": ["Th", "Th", "Th", "Th", "Th", "Th", "Pa", "Pa", "Pa", "Te", "Te", "Te"], "frac_coords": [[0.0000, 0.0000, 0.2454], [0.0000, 0.0000, 0.7546], [0.3333, 0.6667, 0.4212], [0.3333, 0.6667, 0.9121], [0.6667, 0.3333, 0.0879], [0.6667, 0.3333, 0.5788], [0.0000, 0.0000, 0.0000], [0.3333, 0.6667, 0.6667], [0.6667, 0.3333, 0.3333], [0.0000, 0.0000, 0.5000], [0.3333, 0.6667, 0.1667], [0.6667, 0.3333, 0.8333]], "magmom_total_mub_per_cell": 0.00, "spacegroup": "R-3m (166)", "total_energy_ev_per_atom": -7.055, "vol_a3_per_atom": 30.87, "raw_formation_energy_ev_per_atom": -0.19}


{"formula": "Nd8Ni2Rh", "functional": "PBE", "state": "relaxed", "lattice": [[9.1803, -2.5961, 0.0000], [9.1803, 2.5961, 0.0000], [-2.0283, 0.0000, 6.3676]], "species": ["Nd", "Nd", "Nd", "Nd", "Nd", "Nd", "Nd", "Nd", "Ni", "Ni", "Rh"], "frac_coords": [[0.0343, 0.0343, 0.2967], [0.1977, 0.1977, 0.8495], [0.3235, 0.3235, 0.5024], [0.4097, 0.4097, 0.0433], [0.5903, 0.5903, 0.9567], [0.6765, 0.6765, 0.4976], [0.8023, 0.8023, 0.1505], [0.9657, 0.9657, 0.7033], [0.1742, 0.1742, 0.2427], [0.8258, 0.8258, 0.7573], [0.5000, 0.5000, 0.5000]], "magmom_total_mub_per_cell": 0.00, "spacegroup": "C2/m (12)", "total_energy_ev_per_atom": -5.403, "vol_a3_per_atom": 27.59}


{"formula": "Sr2Li3ZnPb4", "functional": "PBE", "state": "relaxed", "lattice": [[4.7722, 0.0000, 0.0000], [0.0000, 4.7722, 0.0000], [0.0000, 0.0000, 11.6783]], "species": ["Sr", "Sr", "Li", "Li", "Li", "Zn", "Pb", "Pb", "Pb", "Pb"], "frac_coords": [[0.0000, 0.5000, 0.2391], [0.5000, 0.0000, 0.7609], [0.0000, 0.0000, 0.0000], [0.0000, 0.5000, 0.6372], [0.5000, 0.0000, 0.3628], [0.5000, 0.5000, 0.0000], [0.0000, 0.0000, 0.5000], [0.0000, 0.5000, 0.8706], [0.5000, 0.0000, 0.1294], [0.5000, 0.5000, 0.5000]], "magmom_total_mub_per_cell": 0.00, "spacegroup": "P-4m2 (115)", "total_energy_ev_per_atom": -2.866, "vol_a3_per_atom": 26.60}


{"formula": "KBa2PuO4", "functional": "PBE", "state": "relaxed", "lattice": [[12.2261, 0.0000, 0.0000], [0.0000, 3.6576, 0.0000], [-0.0566, 0.0000, 7.9214]], "species": ["K", "K", "Ba", "Ba", "Ba", "Ba", "Pu", "Pu", "O", "O", "O", "O", "O", "O", "O", "O"], "frac_coords": [[0.0000, 0.0000, 0.0000], [0.5000, 0.5000, 0.0000], [0.2310, 0.0000, 0.2802], [0.2690, 0.5000, 0.7198], [0.7310, 0.5000, 0.2802], [0.7690, 0.0000, 0.7198], [0.0000, 0.5000, 0.5000], [0.5000, 0.0000, 0.5000], [0.0773, 0.5000, 0.2551], [0.1202, 0.0000, 0.5665], [0.3798, 0.5000, 0.4335], [0.4227, 0.0000, 0.7449], [0.5773, 0.0000, 0.2551], [0.6202, 0.5000, 0.5665], [0.8798, 0.0000, 0.4335], [0.9227, 0.5000, 0.7449]], "magmom_total_mub_per_cell": 9.86, "spacegroup": "C2/m (12)", "total_energy_ev_per_atom": -7.224, "vol_a3_per_atom": 22.14, "raw_formation_energy_ev_per_atom": -2.34}


{"formula": "SmZrS3", "functional": "PBE", "state": "relaxed", "lattice": [[8.1665, 0.0000, 0.0000], [0.0000, 3.7236, 0.0000], [0.0000, 0.0000, 13.9846]], "species": ["Sm", "Sm", "Sm", "Sm", "Zr", "Zr", "Zr", "Zr", "S", "S", "S", "S", "S", "S", "S", "S", "S", "S", "S", "S"], "frac_coords": [[0.1343, 0.2500, 0.1962], [0.3657, 0.7500, 0.6962], [0.6343, 0.2500, 0.3038], [0.8657, 0.7500, 0.8038], [0.1748, 0.7500, 0.4603], [0.3252, 0.2500, 0.9603], [0.6748, 0.7500, 0.0397], [0.8252, 0.2500, 0.5397], [0.0064, 0.7500, 0.6162], [0.1576, 0.2500, 0.7991], [0.1593, 0.7500, 0.0458], [0.3407, 0.2500, 0.5458], [0.3424, 0.7500, 0.2991], [0.4936, 0.2500, 0.1162], [0.5064, 0.7500, 0.8838], [0.6576, 0.2500, 0.7009], [0.6593, 0.7500, 0.4542], [0.8407, 0.2500, 0.9542], [0.8424, 0.7500, 0.2009], [0.9936, 0.2500, 0.3838]], "magmom_total_mub_per_cell": 0.00, "spacegroup": "Pnma (62)", "total_energy_ev_per_atom": -6.899, "vol_a3_per_atom": 21.26, "raw_formation_energy_ev_per_atom": -1.77}


{"formula": "CaH2O2", "functional": "PBE", "state": "relaxed", "lattice": [[3.6215, 0.0000, 0.0000], [-1.8108, 3.1364, 0.0000], [0.0000, 0.0000, 4.9590]], "species": ["Ca", "H", "H", "O", "O"], "frac_coords": [[0.0000, 0.0000, 0.0000], [0.3333, 0.6667, 0.4281], [0.6667, 0.3333, 0.5719], [0.3333, 0.6667, 0.2318], [0.6667, 0.3333, 0.7682]], "magmom_total_mub_per_cell": 0.00, "spacegroup": "P-3m1 (164)", "total_energy_ev_per_atom": -5.626, "vol_a3_per_atom": 11.27}


{"formula": "Cs2KAs", "functional": "PBE", "state": "relaxed", "lattice": [[5.5620, 0.0000, 0.0000], [0.0000, 5.5620, 0.0000], [0.0000, 0.0000, 24.6903]], "species": ["Cs", "Cs", "Cs", "Cs", "Cs", "Cs", "Cs", "Cs", "K", "K", "K", "K", "As", "As", "As", "As"], "frac_coords": [[0.2368, 0.2500, 0.1250], [0.2500, 0.7368, 0.3750], [0.2500, 0.7632, 0.8750], [0.2632, 0.2500, 0.6250], [0.7368, 0.7500, 0.6250], [0.7500, 0.2368, 0.8750], [0.7500, 0.2632, 0.3750], [0.7632, 0.7500, 0.1250], [0.0000, 0.0000, 0.5000], [0.0000, 0.5000, 0.7500], [0.5000, 0.0000, 0.2500], [0.5000, 0.5000, 0.0000], [0.0000, 0.0000, 0.0000], [0.0000, 0.5000, 0.2500], [0.5000, 0.0000, 0.7500], [0.5000, 0.5000, 0.5000]], "magmom_total_mub_per_cell": 0.00, "spacegroup": "I-42d (122)", "total_energy_ev_per_atom": -1.842, "vol_a3_per_atom": 47.74}


{"formula": "CrHRu2W", "functional": "PBE", "state": "relaxed", "lattice": [[3.8865, 0.0000, 0.0000], [0.0000, 3.8865, 0.0000], [0.0000, 0.0000, 3.8300]], "species": ["Cr", "H", "Ru", "Ru", "W"], "frac_coords": [[0.0000, 0.0000, 0.0000], [0.0000, 0.0000, 0.5000], [0.0000, 0.5000, 0.5000], [0.5000, 0.0000, 0.5000], [0.5000, 0.5000, 0.0000]], "magmom_total_mub_per_cell": 0.00, "spacegroup": "P4/mmm (123)", "total_energy_ev_per_atom": -8.856, "vol_a3_per_atom": 11.57}


{"formula": "Rb2NbPtBr6", "functional": "PBE", "state": "relaxed", "lattice": [[-3.7062, 3.7062, 6.0254], [3.7062, -3.7062, 6.0254], [3.7062, 3.7062, -6.0254]], "species": ["Rb", "Rb", "Nb", "Pt", "Br", "Br", "Br", "Br", "Br", "Br"], "frac_coords": [[0.2500, 0.7500, 0.5000], [0.7500, 0.2500, 0.5000], [0.0000, 0.0000, 0.0000], [0.5000, 0.5000, 0.0000], [0.2197, 0.2197, 0.0000], [0.2529, 0.2529, 0.5057], [0.2529, 0.7471, 0.0000], [0.7471, 0.2529, 0.0000], [0.7471, 0.7471, 0.4943], [0.7803, 0.7803, 0.0000]], "magmom_total_mub_per_cell": 1.48, "spacegroup": "I4/mmm (139)", "total_energy_ev_per_atom": -3.650, "vol_a3_per_atom": 33.11, "raw_formation_energy_ev_per_atom": -0.84}


{"formula": "RbAgP", "functional": "PBE", "state": "relaxed", "lattice": [[4.2565, 0.0000, 0.0000], [-2.1282, 3.6862, 0.0000], [0.0000, 0.0000, 5.4776]], "species": ["Rb", "Ag", "P"], "frac_coords": [[0.0000, 0.0000, 0.0000], [0.6667, 0.3333, 0.5000], [0.3333, 0.6667, 0.5000]], "magmom_total_mub_per_cell": 0.16, "spacegroup": "P-6m2 (187)", "total_energy_ev_per_atom": -3.184, "vol_a3_per_atom": 28.65}